(i)
! BeBiSeBr2 | the Alexandria database | PBEsol | optimized geometry; values from VASP
! M_tot: 0.00 μB per cell
! Symmetry: No. 123
&SYSTEM
  ibrav = 0, nat = 5, ntyp = 4
/
ATOMIC_SPECIES
Be 9.01 Be.upf
Bi 208.98 Bi.upf
Se 78.96 Se.upf
Br 79.90 Br.upf
ATOMIC_POSITIONS crystal
Be 0.0000 0.0000 0.0000
Bi 0.5000 0.5000 0.5000
Se 0.0000 0.0000 0.5000
Br 0.0000 0.5000 0.0000
Br 0.5000 0.0000 0.0000
CELL_PARAMETERS angstrom
4.6284 0.0000 0.0000
0.0000 4.6284 0.0000
0.0000 0.0000 5.0093

(ii)
! BeBiSeBr2 | the Alexandria database | PBEsol | optimized geometry; values from VASP
! M_tot: 0.91 μB per cell
! Symmetry: No. 123
&SYSTEM
  ibrav = 0, nat = 5, ntyp = 4
/
ATOMIC_SPECIES
Be 9.01 Be.upf
Bi 208.98 Bi.upf
Se 78.96 Se.upf
Br 79.90 Br.upf
ATOMIC_POSITIONS crystal
Be 0.0000 0.0000 0.0000
Bi 0.5000 0.5000 0.5000
Se 0.5000 0.5000 0.0000
Br 0.0000 0.5000 0.5000
Br 0.5000 0.0000 0.5000
CELL_PARAMETERS angstrom
5.5792 0.0000 0.0000
0.0000 5.5792 0.0000
0.0000 0.0000 5.5778

The most stable of them is (i).

(i)
! Be3HgBi | the Alexandria database | PBEsol | optimized geometry; values from VASP
! M_tot: 0.00 μB per cell
! Symmetry: No. 221
&SYSTEM
  ibrav = 0, nat = 5, ntyp = 3
/
ATOMIC_SPECIES
Be 9.01 Be.upf
Hg 200.59 Hg.upf
Bi 208.98 Bi.upf
ATOMIC_POSITIONS crystal
Be 0.0000 0.0000 0.5000
Be 0.0000 0.5000 0.0000
Be 0.5000 0.0000 0.0000
Hg 0.5000 0.5000 0.5000
Bi 0.0000 0.0000 0.0000
CELL_PARAMETERS angstrom
4.8099 0.0000 0.0000
0.0000 4.8099 0.0000
0.0000 0.0000 4.8099

(ii)
! Be3HgBi | the Alexandria database | PBEsol | optimized geometry; values from VASP
! M_tot: 0.00 μB per cell
! Symmetry: No. 221
&SYSTEM
  ibrav = 0, nat = 5, ntyp = 3
/
ATOMIC_SPECIES
Be 9.01 Be.upf
Hg 200.59 Hg.upf
Bi 208.98 Bi.upf
ATOMIC_POSITIONS crystal
Be 0.0000 0.0000 0.5000
Be 0.0000 0.5000 0.0000
Be 0.5000 0.0000 0.0000
Hg 0.0000 0.0000 0.0000
Bi 0.5000 0.5000 0.5000
CELL_PARAMETERS angstrom
4.5096 0.0000 0.0000
0.0000 4.5096 0.0000
0.0000 0.0000 4.5096

The most stable of them is (ii).

(i)
! BeBi2O | the Alexandria database | PBEsol | optimized geometry; values from VASP
! M_tot: 0.00 μB per cell
! Symmetry: No. 122
&SYSTEM
  ibrav = 0, nat = 8, ntyp = 3
/
ATOMIC_SPECIES
Be 9.01 Be.upf
Bi 208.98 Bi.upf
O 16.00 O.upf
ATOMIC_POSITIONS crystal
Be 0.0000 0.0000 0.0000
Be 0.7500 0.2500 0.5000
Bi 0.1490 0.6250 0.0240
Bi 0.3750 0.3990 0.5240
Bi 0.6010 0.1250 0.9760
Bi 0.8750 0.8510 0.4760
O 0.2500 0.7500 0.5000
O 0.5000 0.5000 0.0000
CELL_PARAMETERS angstrom
-2.6572 2.6572 6.1861
2.6572 -2.6572 6.1861
2.6572 2.6572 -6.1861

(ii)
! BeBi2O | the Alexandria database | PBEsol | optimized geometry; values from VASP
! M_tot: 0.00 μB per cell
! Symmetry: No. 225
&SYSTEM
  ibrav = 0, nat = 4, ntyp = 3
/
ATOMIC_SPECIES
Be 9.01 Be.upf
Bi 208.98 Bi.upf
O 16.00 O.upf
ATOMIC_POSITIONS crystal
Be 0.0000 0.0000 0.0000
Bi 0.2500 0.2500 0.2500
Bi 0.7500 0.7500 0.7500
O 0.5000 0.5000 0.5000
CELL_PARAMETERS angstrom
0.0000 3.2694 3.2694
3.2694 0.0000 3.2694
3.2694 3.2694 0.0000

The most stable of them is (i).

(i)
! BeBi2TeW | the Alexandria database | PBEsol | optimized geometry; values from VASP
! M_tot: 0.00 μB per cell
! Symmetry: No. 123
&SYSTEM
  ibrav = 0, nat = 5, ntyp = 4
/
ATOMIC_SPECIES
Be 9.01 Be.upf
Bi 208.98 Bi.upf
Te 127.60 Te.upf
W 183.84 W.upf
ATOMIC_POSITIONS crystal
Be 0.0000 0.0000 0.0000
Bi 0.0000 0.5000 0.5000
Bi 0.5000 0.0000 0.5000
Te 0.5000 0.5000 0.0000
W 0.5000 0.5000 0.5000
CELL_PARAMETERS angstrom
5.3918 0.0000 0.0000
0.0000 5.3918 0.0000
0.0000 0.0000 5.1403

(ii)
! BeBi2TeW | the Alexandria database | PBEsol | optimized geometry; values from VASP
! M_tot: 1.34 μB per cell
! Symmetry: No. 123
&SYSTEM
  ibrav = 0, nat = 5, ntyp = 4
/
ATOMIC_SPECIES
Be 9.01 Be.upf
Bi 208.98 Bi.upf
Te 127.60 Te.upf
W 183.84 W.upf
ATOMIC_POSITIONS crystal
Be 0.0000 0.0000 0.0000
Bi 0.0000 0.5000 0.0000
Bi 0.5000 0.0000 0.0000
Te 0.5000 0.5000 0.5000
W 0.0000 0.0000 0.5000
CELL_PARAMETERS angstrom
5.0867 0.0000 0.0000
0.0000 5.0867 0.0000
0.0000 0.0000 4.4638

The most stable of them is (ii).

(i)
! BeBr | the Alexandria database | PBEsol | optimized geometry; values from VASP
! M_tot: 0.00 μB per cell
! Symmetry: No. 164
&SYSTEM
  ibrav = 0, nat = 4, ntyp = 2
/
ATOMIC_SPECIES
Be 9.01 Be.upf
Br 79.90 Br.upf
ATOMIC_POSITIONS crystal
Be 0.3333 0.6667 0.1214
Be 0.6667 0.3333 0.8786
Br 0.3333 0.6667 0.7124
Br 0.6667 0.3333 0.2876
CELL_PARAMETERS angstrom
3.2918 0.0000 0.0000
-1.6459 2.8508 0.0000
0.0000 0.0000 8.2356

(ii)
! BeBr | the Alexandria database | PBEsol | optimized geometry; values from VASP
! M_tot: 0.00 μB per cell
! Symmetry: No. 187
&SYSTEM
  ibrav = 0, nat = 2, ntyp = 2
/
ATOMIC_SPECIES
Be 9.01 Be.upf
Br 79.90 Br.upf
ATOMIC_POSITIONS crystal
Be 0.0000 0.0000 0.0000
Br 0.3333 0.6667 0.5000
CELL_PARAMETERS angstrom
3.3490 0.0000 0.0000
-1.6745 2.9003 0.0000
0.0000 0.0000 3.4261

(iii)
! BeBr | the Alexandria database | PBEsol | optimized geometry; values from VASP
! M_tot: 0.00 μB per cell
! Symmetry: No. 221
&SYSTEM
  ibrav = 0, nat = 2, ntyp = 2
/
ATOMIC_SPECIES
Be 9.01 Be.upf
Br 79.90 Br.upf
ATOMIC_POSITIONS crystal
Be 0.0000 0.0000 0.0000
Br 0.5000 0.5000 0.5000
CELL_PARAMETERS angstrom
3.1853 0.0000 0.0000
0.0000 3.1853 0.0000
0.0000 0.0000 3.1853

The most stable of them is (i).

(i)
! BeBr2 | the Alexandria database | PBEsol | optimized geometry; values from VASP
! M_tot: 0.00 μB per cell
! Symmetry: No. 164
&SYSTEM
  ibrav = 0, nat = 3, ntyp = 2
/
ATOMIC_SPECIES
Be 9.01 Be.upf
Br 79.90 Br.upf
ATOMIC_POSITIONS crystal
Be 0.0000 0.0000 0.0000
Br 0.3333 0.6667 0.2149
Br 0.6667 0.3333 0.7851
CELL_PARAMETERS angstrom
3.4568 0.0000 0.0000
-1.7284 2.9937 0.0000
0.0000 0.0000 6.3326

(ii)
! BeBr2 | the Alexandria database | PBEsol | optimized geometry; values from VASP
! M_tot: 0.00 μB per cell
! Symmetry: No. 72
&SYSTEM
  ibrav = 0, nat = 6, ntyp = 2
/
ATOMIC_SPECIES
Be 9.01 Be.upf
Br 79.90 Br.upf
ATOMIC_POSITIONS crystal
Be 0.2500 0.2500 0.0000
Be 0.7500 0.7500 0.0000
Br 0.1107 0.2062 0.3170
Br 0.3893 0.7062 0.0955
Br 0.6107 0.2938 0.9045
Br 0.8893 0.7938 0.6830
CELL_PARAMETERS angstrom
-2.9035 5.3977 2.7610
2.9035 -5.3977 2.7610
2.9035 5.3977 -2.7610

The most stable of them is (ii).

(i)
! CaBe2Br | the Alexandria database | PBEsol | optimized geometry; values from VASP
! M_tot: 0.00 μB per cell
! Symmetry: No. 71
&SYSTEM
  ibrav = 0, nat = 4, ntyp = 3
/
ATOMIC_SPECIES
Ca 40.08 Ca.upf
Be 9.01 Be.upf
Br 79.90 Br.upf
ATOMIC_POSITIONS crystal
Ca 0.0000 0.0000 0.0000
Be 0.2524 0.7524 0.5000
Be 0.7476 0.2476 0.5000
Br 0.5000 0.5000 0.0000
CELL_PARAMETERS angstrom
-1.7140 2.1073 5.2952
1.7140 -2.1073 5.2952
1.7140 2.1073 -5.2952

(ii)
! CaBe2Br | the Alexandria database | PBEsol | optimized geometry; values from VASP
! M_tot: 0.00 μB per cell
! Symmetry: No. 123
&SYSTEM
  ibrav = 0, nat = 4, ntyp = 3
/
ATOMIC_SPECIES
Ca 40.08 Ca.upf
Be 9.01 Be.upf
Br 79.90 Br.upf
ATOMIC_POSITIONS crystal
Ca 0.0000 0.0000 0.0000
Be 0.5000 0.5000 0.2751
Be 0.5000 0.5000 0.7249
Br 0.0000 0.0000 0.5000
CELL_PARAMETERS angstrom
4.1307 0.0000 0.0000
0.0000 4.1307 0.0000
0.0000 0.0000 5.2257

The most stable of them is (i).

(i)
! BeCdBr2 | the Alexandria database | PBEsol | optimized geometry; values from VASP
! M_tot: 0.00 μB per cell
! Symmetry: No. 47
&SYSTEM
  ibrav = 0, nat = 4, ntyp = 3
/
ATOMIC_SPECIES
Be 9.01 Be.upf
Cd 112.41 Cd.upf
Br 79.90 Br.upf
ATOMIC_POSITIONS crystal
Be 0.0000 0.0000 0.0000
Cd 0.5000 0.0000 0.5000
Br 0.0000 0.5000 0.5000
Br 0.5000 0.5000 0.0000
CELL_PARAMETERS angstrom
3.8230 0.0000 0.0000
0.0000 3.9191 0.0000
0.0000 0.0000 6.3354

(ii)
! BeCdBr2 | the Alexandria database | PBEsol | optimized geometry; values from VASP
! M_tot: 0.00 μB per cell
! Symmetry: No. 44
&SYSTEM
  ibrav = 0, nat = 4, ntyp = 3
/
ATOMIC_SPECIES
Be 9.01 Be.upf
Cd 112.41 Cd.upf
Br 79.90 Br.upf
ATOMIC_POSITIONS crystal
Be 0.0000 0.0000 0.0000
Cd 0.2321 0.7321 0.5000
Br 0.4861 0.4861 0.0000
Br 0.8380 0.3380 0.5000
CELL_PARAMETERS angstrom
-1.6572 3.3509 4.4433
1.6572 -3.3509 4.4433
1.6572 3.3509 -4.4433

The most stable of them is (ii).

(i)
! Be2BrCl | the Alexandria database | PBEsol | optimized geometry; values from VASP
! M_tot: 0.00 μB per cell
! Symmetry: No. 65
&SYSTEM
  ibrav = 0, nat = 4, ntyp = 3
/
ATOMIC_SPECIES
Be 9.01 Be.upf
Br 79.90 Br.upf
Cl 35.45 Cl.upf
ATOMIC_POSITIONS crystal
Be 0.0000 0.0000 0.2433
Be 0.0000 0.0000 0.7567
Br 0.5000 0.5000 0.5000
Cl 0.5000 0.5000 0.0000
CELL_PARAMETERS angstrom
1.6084 -3.0409 0.0000
1.6084 3.0409 0.0000
0.0000 0.0000 6.8590

(ii)
! Be2BrCl | the Alexandria database | PBEsol | optimized geometry; values from VASP
! M_tot: 0.00 μB per cell
! Symmetry: No. 99
&SYSTEM
  ibrav = 0, nat = 4, ntyp = 3
/
ATOMIC_SPECIES
Be 9.01 Be.upf
Br 79.90 Br.upf
Cl 35.45 Cl.upf
ATOMIC_POSITIONS crystal
Be 0.0000 0.0000 0.0000
Be 0.5000 0.5000 0.2610
Br 0.0000 0.0000 0.4257
Cl 0.5000 0.5000 0.8391
CELL_PARAMETERS angstrom
3.0143 0.0000 0.0000
0.0000 3.0143 0.0000
0.0000 0.0000 7.7565

The most stable of them is (ii).

(i)
! BeCrBr | the Alexandria database | PBEsol | optimized geometry; values from VASP
! M_tot: 4.19 μB per cell
! Symmetry: No. 216
&SYSTEM
  ibrav = 0, nat = 3, ntyp = 3
/
ATOMIC_SPECIES
Be 9.01 Be.upf
Cr 52.00 Cr.upf
Br 79.90 Br.upf
ATOMIC_POSITIONS crystal
Be 0.0000 0.0000 0.0000
Cr 0.7500 0.7500 0.7500
Br 0.2500 0.2500 0.2500
CELL_PARAMETERS angstrom
0.0000 2.9966 2.9966
2.9966 0.0000 2.9966
2.9966 2.9966 0.0000

(ii)
! BeCrBr | the Alexandria database | PBEsol | optimized geometry; values from VASP
! M_tot: 1.11 μB per cell
! Symmetry: No. 156
&SYSTEM
  ibrav = 0, nat = 3, ntyp = 3
/
ATOMIC_SPECIES
Be 9.01 Be.upf
Cr 52.00 Cr.upf
Br 79.90 Br.upf
ATOMIC_POSITIONS crystal
Be 0.0000 0.0000 0.0000
Cr 0.3333 0.6667 0.2778
Br 0.6667 0.3333 0.5679
CELL_PARAMETERS angstrom
2.9850 0.0000 0.0000
-1.4925 2.5850 0.0000
0.0000 0.0000 5.8050

The most stable of them is (ii).

(i)
! Be2CrBr | the Alexandria database | PBEsol | optimized geometry; values from VASP
! M_tot: 7.32 μB per cell
! Symmetry: No. 122
&SYSTEM
  ibrav = 0, nat = 8, ntyp = 3
/
ATOMIC_SPECIES
Be 9.01 Be.upf
Cr 52.00 Cr.upf
Br 79.90 Br.upf
ATOMIC_POSITIONS crystal
Be 0.1092 0.1250 0.4842
Be 0.3750 0.8908 0.0158
Be 0.6408 0.6250 0.5158
Be 0.8750 0.3592 0.9842
Cr 0.2500 0.7500 0.5000
Cr 0.5000 0.5000 0.0000
Br 0.0000 0.0000 0.0000
Br 0.7500 0.2500 0.5000
CELL_PARAMETERS angstrom
-3.3698 3.3698 2.5181
3.3698 -3.3698 2.5181
3.3698 3.3698 -2.5181

(ii)
! Be2CrBr | the Alexandria database | PBEsol | optimized geometry; values from VASP
! M_tot: 2.53 μB per cell
! Symmetry: No. 123
&SYSTEM
  ibrav = 0, nat = 4, ntyp = 3
/
ATOMIC_SPECIES
Be 9.01 Be.upf
Cr 52.00 Cr.upf
Br 79.90 Br.upf
ATOMIC_POSITIONS crystal
Be 0.0000 0.5000 0.0000
Be 0.5000 0.0000 0.0000
Cr 0.0000 0.0000 0.5000
Br 0.5000 0.5000 0.5000
CELL_PARAMETERS angstrom
4.0698 0.0000 0.0000
0.0000 4.0698 0.0000
0.0000 0.0000 3.0761

(iii)
! Be2CrBr | the Alexandria database | PBEsol | optimized geometry; values from VASP
! M_tot: 3.04 μB per cell
! Symmetry: No. 8
&SYSTEM
  ibrav = 0, nat = 4, ntyp = 3
/
ATOMIC_SPECIES
Be 9.01 Be.upf
Cr 52.00 Cr.upf
Br 79.90 Br.upf
ATOMIC_POSITIONS crystal
Be 0.0000 0.0000 0.0000
Be 0.6667 0.6667 0.0303
Cr 0.3336 0.3336 0.2306
Br 0.0008 0.0008 0.5525
CELL_PARAMETERS angstrom
3.1625 -1.8252 0.0000
3.1625 1.8252 0.0000
-0.0100 0.0000 5.2581

The most stable of them is (iii).

(i)
! BeCu2Br | the Alexandria database | PBEsol | optimized geometry; values from VASP
! M_tot: 0.00 μB per cell
! Symmetry: No. 119
&SYSTEM
  ibrav = 0, nat = 4, ntyp = 3
/
ATOMIC_SPECIES
Be 9.01 Be.upf
Cu 63.55 Cu.upf
Br 79.90 Br.upf
ATOMIC_POSITIONS crystal
Be 0.0000 0.0000 0.0000
Cu 0.2500 0.7500 0.5000
Cu 0.5000 0.5000 0.0000
Br 0.7500 0.2500 0.5000
CELL_PARAMETERS angstrom
-1.7060 1.7060 5.1116
1.7060 -1.7060 5.1116
1.7060 1.7060 -5.1116

(ii)
! BeCu2Br | the Alexandria database | PBEsol | optimized geometry; values from VASP
! M_tot: 0.00 μB per cell
! Symmetry: No. 65
&SYSTEM
  ibrav = 0, nat = 4, ntyp = 3
/
ATOMIC_SPECIES
Be 9.01 Be.upf
Cu 63.55 Cu.upf
Br 79.90 Br.upf
ATOMIC_POSITIONS crystal
Be 0.0000 0.0000 0.0000
Cu 0.0000 0.5000 0.5000
Cu 0.5000 0.0000 0.5000
Br 0.5000 0.5000 0.0000
CELL_PARAMETERS angstrom
2.4676 -3.6806 0.0000
2.4676 3.6806 0.0000
0.0000 0.0000 3.0543

The most stable of them is (ii).

(i)
! BeGe2PBr | the Alexandria database | PBEsol | optimized geometry; values from VASP
! M_tot: 0.00 μB per cell
! Symmetry: No. 123
&SYSTEM
  ibrav = 0, nat = 5, ntyp = 4
/
ATOMIC_SPECIES
Be 9.01 Be.upf
Ge 72.64 Ge.upf
P 30.97 P.upf
Br 79.90 Br.upf
ATOMIC_POSITIONS crystal
Be 0.0000 0.0000 0.0000
Ge 0.0000 0.5000 0.0000
Ge 0.5000 0.0000 0.0000
P 0.0000 0.0000 0.5000
Br 0.5000 0.5000 0.5000
CELL_PARAMETERS angstrom
4.9166 0.0000 0.0000
0.0000 4.9166 0.0000
0.0000 0.0000 3.9109

(ii)
! BeGe2PBr | the Alexandria database | PBEsol | optimized geometry; values from VASP
! M_tot: 0.00 μB per cell
! Symmetry: No. 123
&SYSTEM
  ibrav = 0, nat = 5, ntyp = 4
/
ATOMIC_SPECIES
Be 9.01 Be.upf
Ge 72.64 Ge.upf
P 30.97 P.upf
Br 79.90 Br.upf
ATOMIC_POSITIONS crystal
Be 0.0000 0.0000 0.0000
Ge 0.0000 0.5000 0.5000
Ge 0.5000 0.0000 0.5000
P 0.5000 0.5000 0.0000
Br 0.0000 0.0000 0.5000
CELL_PARAMETERS angstrom
5.1195 0.0000 0.0000
0.0000 5.1195 0.0000
0.0000 0.0000 4.2698

The most stable of them is (i).

(i)
! BeInBr2 | the Alexandria database | PBEsol | optimized geometry; values from VASP
! M_tot: 0.00 μB per cell
! Symmetry: No. 123
&SYSTEM
  ibrav = 0, nat = 4, ntyp = 3
/
ATOMIC_SPECIES
Be 9.01 Be.upf
In 114.82 In.upf
Br 79.90 Br.upf
ATOMIC_POSITIONS crystal
Be 0.0000 0.0000 0.0000
In 0.5000 0.5000 0.0000
Br 0.0000 0.5000 0.5000
Br 0.5000 0.0000 0.5000
CELL_PARAMETERS angstrom
5.1302 0.0000 0.0000
0.0000 5.1302 0.0000
0.0000 0.0000 3.6383

(ii)
! BeInBr2 | the Alexandria database | PBEsol | optimized geometry; values from VASP
! M_tot: 0.00 μB per cell
! Symmetry: No. 99
&SYSTEM
  ibrav = 0, nat = 4, ntyp = 3
/
ATOMIC_SPECIES
Be 9.01 Be.upf
In 114.82 In.upf
Br 79.90 Br.upf
ATOMIC_POSITIONS crystal
Be 0.0000 0.0000 0.0000
In 0.5000 0.5000 0.5238
Br 0.0000 0.0000 0.2330
Br 0.5000 0.5000 0.9107
CELL_PARAMETERS angstrom
3.3571 0.0000 0.0000
0.0000 3.3571 0.0000
0.0000 0.0000 8.7696

The most stable of them is (ii).